Density functional theory data (PBE) for a relaxed structure of La6SiOs2Br3.

Mass density, kg/m³: 6681
Uncorrected energy, eV per atom: -6.138

Cell and atoms, written as CIF:
```
data_La6SiOs2Br3
_space_group_name_H-M_alt 'C 1 2/m 1'
_space_group_IT_number 12
_space_group_name_Hall '-C 2y'
_cell_length_a 7.402
_cell_length_b 12.823
_cell_length_c 8.154
_cell_angle_alpha 90.00
_cell_angle_beta 107.88
_cell_angle_gamma 90.00
loop_
_atom_site_label
_atom_site_fract_x
_atom_site_fract_y
_atom_site_fract_z
La1 0.215 0.000 0.200
La2 0.241 0.324 0.200
Si1 0.000 0.500 0.000
Os1 0.000 0.167 0.000
Br1 0.000 0.000 0.500
Br2 0.000 0.337 0.500
```